Computed, not measured: BaPm2NiO5 after structural relaxation at the GGA+U level of DFT.

```
18
Lattice="-4.1736 -1.6238 -5.0186 2.9877 -6.0017 -0.5428 -3.1919 1.5787 6.6511" Properties=species:S:1:pos:R:3 pbc="T T T"
Ba -1.8924 -1.1171 1.9352
Ba -2.4854 -4.9298 -0.8455
Ni -3.9792 -1.9290 -0.5741
Ni -0.3986 -4.1179 1.6638
O -3.3002 0.7264 3.7753
O -0.5930 -3.8128 -2.7807
O -2.3235 -4.0460 1.9757
O -4.7322 -1.4010 1.1470
O -2.0543 -2.0009 -0.8859
O 0.3544 -4.6458 -0.0573
O -0.8916 -1.9185 4.6039
O -1.0775 -6.7733 -2.6855
O -3.4862 -4.1283 -3.5142
O 0.0000 0.0000 0.0000
Pm 0.2486 -2.2396 -1.0497
Pm -2.2930 -2.1379 -3.4763
Pm -1.4345 -5.3859 -4.5117
Pm 1.1071 -5.4876 -2.0850
```

density of states at the Fermi level	0.00	states/eV/f.u.
E_tot	-6.981	eV/atom
total moment	3.9	μB per cell